Zn2TeP | PBE | relaxed

Cell lengths 7.059, 7.059, 7.059 Å; angles 131.22, 131.22, 71.46 degrees
Atoms (fractional coordinates):
Zn1 0.073 0.625 0.948
Zn2 0.375 0.323 0.448
Zn3 0.677 0.125 0.052
Zn4 0.875 0.927 0.552
Te1 0.250 0.750 0.500
Te2 0.500 0.500 0.000
P1 0.000 0.000 0.000
P2 0.750 0.250 0.500

Output
**Magnetic moment**: 0.000 μB/atom
**Offset from the most stable computed form**: 0 meV/atom
**Raw total energy**: -2.95 eV/atom
**Uncorrected formation energy**: -0.171 eV/atom


AgWBr | PBE | relaxed

Cell lengths 7.907, 7.641, 3.007 Å; angles 83.87, 73.91, 22.22 degrees
Atoms (fractional coordinates):
Ag1 0.000 0.000 0.000
W1 0.344 0.344 0.656
Br1 0.705 0.705 0.295

Output
**Magnetic moment**: 0.000 μB/atom
**Offset from the most stable computed form**: 198 meV/atom
**Raw total energy**: -5.00 eV/atom
**Uncorrected formation energy**: 0.822 eV/atom


BaUTe2O8 | PBE | relaxed

Cell lengths 7.373, 7.373, 5.982 Å; angles 109.01, 109.01, 46.44 degrees
Atoms (fractional coordinates):
Ba1 0.000 0.000 0.000
U1 0.500 0.500 0.500
Te1 0.208 0.208 0.697
Te2 0.792 0.792 0.303
O1 0.120 0.660 0.274
O2 0.179 0.179 0.371
O3 0.340 0.880 0.726
O4 0.436 0.436 0.729
O5 0.564 0.564 0.271
O6 0.660 0.120 0.274
O7 0.821 0.821 0.629
O8 0.880 0.340 0.726

Output
**Magnetic moment**: 0.000 μB/atom
**Raw total energy**: -7.04 eV/atom
**Uncorrected formation energy**: -2.115 eV/atom


Among the records above, which one has the highest uncorrected formation energy? AgWBr